Record 1
The following is a DFT calculation (GGA-PBE) of AcFe2 after structural relaxation.

Properties
**SG**: No. 227
**DFT formation energy**: 0.29 eV/atom

a = 5.439 Å, b = 5.439 Å, c = 5.439 Å
α = 60.00°, β = 60.00°, γ = 60.00°
Fractional coordinates of all 6 atoms:
Ac (0.250, 0.250, 0.250)
Ac (0.000, 0.000, 0.000)
Fe (0.625, 0.125, 0.625)
Fe (0.625, 0.625, 0.125)
Fe (0.625, 0.625, 0.625)
Fe (0.125, 0.625, 0.625)

=====

Record 2
The following is a DFT calculation (GGA-PBE) of NpTcAs4 after structural relaxation.

Properties
**SG**: No. 14
**DFT formation energy**: -0.06 eV/atom

a = 6.096 Å, b = 6.718 Å, c = 6.682 Å
α = 90.00°, β = 70.76°, γ = 90.00°
Fractional coordinates of all 12 atoms:
As (0.013, 0.392, 0.850)
As (0.513, 0.108, 0.850)
As (0.395, 0.358, 0.443)
As (0.605, 0.642, 0.557)
As (0.895, 0.142, 0.443)
As (0.987, 0.608, 0.150)
As (0.105, 0.858, 0.557)
As (0.487, 0.892, 0.150)
Np (0.000, 0.000, 0.000)
Np (0.500, 0.500, 0.000)
Tc (0.000, 0.500, 0.500)
Tc (0.500, 0.000, 0.500)

=====

Record 3
The following is a DFT calculation (GGA-PBE) of PPdSeCl2 after structural relaxation.

Properties
**Polymorph energy (0 for the lowest one)**: 0 meV per atom
**ΔE_f (raw)**: 0.409 eV/atom
**SG**: No. 123

a = 4.766 Å, b = 4.766 Å, c = 4.860 Å
α = 90.00°, β = 90.00°, γ = 90.00°
Fractional coordinates of all 5 atoms:
Pd (0.000, 0.000, 0.000)
P (0.000, 0.000, 0.500)
Se (0.500, 0.500, 0.500)
Cl (0.500, 0.000, 0.000)
Cl (0.000, 0.500, 0.000)

=====

Record 4
The following is a DFT calculation (GGA-PBE) of MgBi after structural relaxation.

Properties
**SG**: No. 31
**DFT formation energy**: -0.10 eV/atom

a = 16.478 Å, b = 4.411 Å, c = 4.580 Å
α = 90.00°, β = 90.00°, γ = 90.00°
Fractional coordinates of all 12 atoms:
Bi (0.000, 0.536, 0.969)
Bi (0.660, 0.901, 0.638)
Bi (0.340, 0.901, 0.638)
Bi (0.160, 0.099, 0.138)
Bi (0.840, 0.099, 0.138)
Bi (0.500, 0.464, 0.469)
Mg (0.171, 0.579, 0.631)
Mg (0.329, 0.421, 0.131)
Mg (0.671, 0.421, 0.131)
Mg (0.829, 0.579, 0.631)
Mg (0.500, 0.959, 0.994)
Mg (0.000, 0.041, 0.494)

=====

Record 5
The following is a DFT calculation (GGA-PBE) of MnCuNi4 after structural relaxation.

Properties
**Polymorph energy (0 for the lowest one)**: 78 meV per atom
**SG**: No. 216
**DFT formation energy**: 0.05 eV/atom

a = 4.658 Å, b = 4.658 Å, c = 4.658 Å
α = 60.00°, β = 60.00°, γ = 60.00°
Fractional coordinates of all 6 atoms:
Ni (0.375, 0.375, 0.375)
Ni (0.874, 0.375, 0.375)
Ni (0.375, 0.874, 0.375)
Ni (0.375, 0.375, 0.874)
Cu (0.750, 0.750, 0.750)
Mn (0.000, 0.000, 0.000)

=====

Record 6
The following is a DFT calculation (GGA-PBE) of MgCd3Ir after structural relaxation.

Properties
**Polymorph energy (0 for the lowest one)**: 0 meV per atom
**SG**: No. 221
**DFT formation energy**: 0.34 eV/atom

a = 5.196 Å, b = 5.196 Å, c = 5.196 Å
α = 90.00°, β = 90.00°, γ = 90.00°
Fractional coordinates of all 5 atoms:
Cd (0.000, 0.000, 0.500)
Cd (0.500, 0.000, 0.000)
Cd (0.000, 0.500, 0.000)
Ir (0.000, 0.000, 0.000)
Mg (0.500, 0.500, 0.500)

=====

Record 7
The following is a DFT calculation (GGA-PBE) of KAgCl3 after structural relaxation.

Properties
**ΔE_f (raw)**: -0.998 eV/atom
**SG**: No. 14

a = 23.944 Å, b = 8.161 Å, c = 7.975 Å
α = 90.00°, β = 158.30°, γ = 90.00°
Fractional coordinates of all 20 atoms:
Cl (0.933, 0.149, 0.030)
Cl (0.522, 0.782, 0.935)
Cl (0.978, 0.282, 0.565)
Cl (0.188, 0.380, 0.510)
Cl (0.067, 0.851, 0.970)
Cl (0.688, 0.120, 0.010)
Cl (0.312, 0.880, 0.990)
Cl (0.022, 0.718, 0.435)
Cl (0.433, 0.351, 0.530)
Cl (0.478, 0.218, 0.065)
Cl (0.567, 0.649, 0.470)
Cl (0.812, 0.620, 0.490)
Ag (0.448, 0.271, 0.281)
Ag (0.052, 0.771, 0.219)
Ag (0.948, 0.229, 0.781)
Ag (0.552, 0.729, 0.719)
K (0.741, 0.452, 0.644)
K (0.759, 0.952, 0.856)
K (0.259, 0.548, 0.356)
K (0.241, 0.048, 0.144)

=====

| no. | D(E_F) (states/eV/f.u.) |
| --- | --- |
| 1 | 2.927 |
| 2 | 12.072 |
| 3 | 4.029 |
| 4 | 0.693 |
| 5 | 4.759 |
| 6 | 2.846 |
| 7 | 2.153 |